Y3Mg2Cu3 | PBE-GGA | optimized geometry

Structure (POSCAR):
```
Y3Mg2Cu3
1.0
5.710 0.000 0.000
0.000 7.220 -4.168
0.000 0.000 8.337
Y Mg Cu
6 4 6
Cartesian
4.283 1.897 -1.095
4.283 5.323 3.073
4.283 0.000 2.191
1.428 5.323 -3.073
1.428 1.897 1.095
1.428 0.000 6.146
0.000 2.407 4.168
2.855 4.813 0.000
0.000 4.813 0.000
2.855 2.407 4.168
4.283 4.365 -2.520
4.283 2.855 1.648
4.283 0.000 5.040
1.428 2.855 -1.648
1.428 4.365 2.520
1.428 0.000 3.297
```

Results
Total moment ... 0.000 μB/atom
Formation enthalpy at 0 K ... -214 meV/atom